The following is a PBE with a Hubbard U calculation of a relaxed BaPm2CoO5 crystal, from the Alexandria database.

Computed properties:
E: -7.290 eV per atom

Lattice parameters (Å, degrees): 6.746 6.746 11.720 90.00 90.00 90.00
Space group I4/mcm (No. 140)
Asymmetric unit:
1 Ba 0.000 0.000 0.250
2 Pm 0.175 0.325 0.000
3 Co 0.000 0.500 0.250
4 O 0.000 0.000 0.000
5 O 0.143 0.357 0.371